(1)
The following is a PBE calculation of a relaxed structure of AcPr2CrN4, from Alexandria via LeMat-Bulk.

* E_tot: -8.088 eV/atom
* raw formation energy: -1.014 eV/atom

a b c (Å): 3.580 12.194 12.250
angles (deg): 90.00 90.00 90.00
Space group Cmcm (No. 63)
Symmetry-distinct sites (fractional):
1 Ac 0.000 0.093 0.250 x4
2 Pr 0.000 0.368 0.044 x8
3 Cr 0.000 0.174 0.750 x4
4 N 0.000 0.000 0.000 x4
5 N 0.000 0.268 0.634 x8
6 N 0.000 0.406 0.250 x4

---

(2)
The following is a PBE calculation of a relaxed structure of SmTm2In2Hg2, from Alexandria via LeMat-Bulk.

* E_tot: -3.096 eV/atom
* DFT formation energy: -0.276 eV/atom

a b c (Å): 4.9428 4.9428 26.3960
angles (deg): 90.00 90.00 120.00
Space group R-3m (No. 166, hexagonal axes)
Symmetry-distinct sites (fractional):
1 Sm 0.0000 0.0000 0.0000 x3
2 Tm 0.0000 0.0000 0.1326 x6
3 In 0.0000 0.0000 0.2665 x6
4 Hg 0.0000 0.0000 0.4323 x6